<one>
VASP calculation (PBE) on an optimized crystal structure of Cd2CoAu.

Output
Calculated density (g/cm3): 11.18
Space-group type: P4mm (99)

The structure in POSCAR format:
```
Cd2CoAu
1.0
3.083 0.000 0.000
0.000 3.083 0.000
0.000 0.000 7.515
Cd Co Au
2 1 1
direct
0.000 0.000 0.000
0.500 0.500 0.302
0.000 0.000 0.531
0.500 0.500 0.735
```

<two>
VASP calculation (PBE) on an optimized crystal structure of Cd2CoAu.

Output
Calculated density (g/cm3): 10.34
Space-group type: I-42d (122)

The structure in POSCAR format:
```
Cd2CoAu
1.0
-1.998 1.998 9.668
1.998 -1.998 9.668
1.998 1.998 -9.668
Cd Co Au
4 2 2
direct
0.116 0.625 0.991
0.375 0.366 0.491
0.634 0.125 0.009
0.875 0.884 0.509
0.000 0.000 0.000
0.750 0.250 0.500
0.250 0.750 0.500
0.500 0.500 0.000
```

Most stable = <one>

<one>
VASP calculation (PBE) on an optimized crystal structure of CdCoAu3.

Output
Calculated density (g/cm3): 9.51
Space-group type: Pm-3m (221)

The structure in POSCAR format:
```
CdCoAu3
1.0
5.105 0.000 0.000
0.000 5.105 0.000
0.000 0.000 5.105
Cd Co Au
1 1 3
direct
0.000 0.000 0.000
0.500 0.500 0.500
0.000 0.000 0.500
0.000 0.500 0.000
0.500 0.000 0.000
```

<two>
VASP calculation (PBE) on an optimized crystal structure of CdCoAu3.

Output
Calculated density (g/cm3): 11.44
Space-group type: Pm-3m (221)

The structure in POSCAR format:
```
CdCoAu3
1.0
4.801 0.000 0.000
0.000 4.801 0.000
0.000 0.000 4.801
Cd Co Au
1 1 3
direct
0.000 0.000 0.000
0.500 0.500 0.500
0.000 0.500 0.500
0.500 0.000 0.500
0.500 0.500 0.000
```

Most stable = <two>